Density functional theory data (PBE) for a geometry-optimized Pm3HoAg2 structure.

Cell lengths 5.2155, 6.9839, 9.3489 Å; angles 90.00, 90.00, 90.00 degrees
Positions (direct):
Pm1 0.0000 0.8399 0.6654
Pm2 0.0000 0.9911 0.0615
Pm3 0.0000 0.3399 0.3346
Pm4 0.0000 0.4911 0.9385
Pm5 0.5000 0.6585 0.1708
Pm6 0.5000 0.1585 0.8292
Ag1 0.0000 0.2730 0.6508
Ag2 0.0000 0.7730 0.3492
Ag3 0.5000 0.2269 0.1568
Ag4 0.5000 0.7269 0.8432
Ho1 0.5000 0.5107 0.5599
Ho2 0.5000 0.0107 0.4401

Calculated values
* size of the total moment: 0.0 μB per cell
* E_tot: -4.25 eV/atom
* formation energy: -15.9 kJ/mol of atoms
* energy relative to the lowest polymorph listed for this composition: 0.0000 eV/atom

***

Density functional theory data (PBE) for a geometry-optimized Pm4HoAg5 structure.

Cell lengths 3.6758, 3.6758, 18.8740 Å; angles 90.00, 90.00, 90.00 degrees
Positions (direct):
Pm1 0.0000 0.0000 0.6010
Pm2 0.0000 0.0000 0.8037
Pm3 0.0000 0.0000 0.1963
Pm4 0.0000 0.0000 0.3990
Ag1 0.5000 0.5000 0.5000
Ag2 0.5000 0.5000 0.0922
Ag3 0.5000 0.5000 0.2979
Ag4 0.5000 0.5000 0.9078
Ag5 0.5000 0.5000 0.7021
Ho1 0.0000 0.0000 0.0000

Calculated values
* size of the total moment: 0.0 μB per cell
* E_tot: -4.07 eV/atom
* formation energy: -27.3 kJ/mol of atoms

***

Density functional theory data (PBE) for a geometry-optimized PmHo5Ag4 structure.

Cell lengths 3.5952, 3.5952, 19.7208 Å; angles 90.00, 90.00, 90.00 degrees
Positions (direct):
Ag1 0.0000 0.0000 0.2202
Ag2 0.0000 0.0000 0.5929
Ag3 0.0000 0.0000 0.4071
Ag4 0.0000 0.0000 0.7798
Ho1 0.5000 0.5000 0.8717
Ho2 0.5000 0.5000 0.6868
Ho3 0.5000 0.5000 0.3132
Ho4 0.5000 0.5000 0.5000
Ho5 0.5000 0.5000 0.1283
Pm1 0.0000 0.0000 0.0000

Calculated values
* size of the total moment: 0.0 μB per cell
* E_tot: -4.16 eV/atom
* formation energy: -24.5 kJ/mol of atoms

***

Question: What is the formula in the third record?
Answer: PmHo5Ag4

***

Question: Look up the formation energy of the first one.
Answer: -15.9 kJ/mol of atoms